DFT (PBE) results for crystalline AcScPd at its relaxed geometry.

The value obtained for the total energy is -5.66 eV/atom. The calculation puts the volume at 26.580 Å³ per atom. For the energy above the most stable polymorph in this dataset, the calculation gives 138 meV per atom. The value obtained for the formation enthalpy at 0 K is -128.7 kJ/mol of formula units. The density is 7.9 g/cm³.

Lattice parameters (Å, degrees): 3.5995 3.5995 6.6602 105.68 105.68 90.00
Positions (direct):
Sc1 0.2908 0.2908 0.5816
Ac1 0.0141 0.0141 0.0282
Pd1 0.6951 0.6951 0.3901